--- A ---
Below is a relaxed structure of NiBPS2, with properties calculated at the PBE level.

```
data_NiBPS2
_chemical_formula_sum 'Ni1 B1 P1 S2'
_cell_length_a 4.6381
_cell_length_b 4.6381
_cell_length_c 4.1382
_cell_angle_alpha 90.00
_cell_angle_beta 90.00
_cell_angle_gamma 90.00
_symmetry_space_group_name_H-M 'P 4/m m m'
_symmetry_Int_Tables_number 123
_symmetry_space_group_name_Hall '-P 4 2'
loop_
_atom_site_label
_atom_site_fract_x
_atom_site_fract_y
_atom_site_fract_z
Ni1 0.0000 0.0000 0.0000
B1 0.5000 0.5000 0.5000
P1 0.0000 0.0000 0.5000
S1 0.0000 0.5000 0.0000
```

## Properties
- Magnetic moment: 0.000 μB per formula unit

--- B ---
Below is a relaxed structure of NiBPS2, with properties calculated at the PBE level.

```
data_NiBPS2
_chemical_formula_sum 'Ni1 B1 P1 S2'
_cell_length_a 4.1923
_cell_length_b 4.1923
_cell_length_c 3.9045
_cell_angle_alpha 90.00
_cell_angle_beta 90.00
_cell_angle_gamma 90.00
_symmetry_space_group_name_H-M 'P 4/m m m'
_symmetry_Int_Tables_number 123
_symmetry_space_group_name_Hall '-P 4 2'
loop_
_atom_site_label
_atom_site_fract_x
_atom_site_fract_y
_atom_site_fract_z
Ni1 0.0000 0.0000 0.0000
B1 0.5000 0.5000 0.5000
P1 0.5000 0.5000 0.0000
S1 0.0000 0.5000 0.5000
```

## Properties
- Magnetic moment: 0.492 μB per formula unit

Most stable: B (next structure +406 meV per atom)

--- A ---
Below is a relaxed structure of PaNi2B, with properties calculated at the PBE level.

```
data_PaNi2B
_chemical_formula_sum 'Pa3 Ni6 B3'
_cell_length_a 4.5955
_cell_length_b 4.5955
_cell_length_c 9.5445
_cell_angle_alpha 90.00
_cell_angle_beta 90.00
_cell_angle_gamma 120.00
_symmetry_space_group_name_H-M 'R -3 m'
_symmetry_Int_Tables_number 166
_symmetry_space_group_name_Hall '-R 3 2"'
loop_
_atom_site_label
_atom_site_fract_x
_atom_site_fract_y
_atom_site_fract_z
Pa1 0.0000 0.0000 0.0000
Ni1 0.0000 0.0000 0.2968
B1 0.0000 0.0000 0.5000
```

## Properties
- Magnetic moment: 0.000 μB per formula unit

--- B ---
Below is a relaxed structure of PaNi2B, with properties calculated at the PBE level.

```
data_PaNi2B
_chemical_formula_sum 'Pa2 Ni4 B2'
_cell_length_a 3.7163
_cell_length_b 6.1923
_cell_length_c 4.9920
_cell_angle_alpha 90.00
_cell_angle_beta 111.81
_cell_angle_gamma 90.00
_symmetry_space_group_name_H-M 'P 1 21/m 1'
_symmetry_Int_Tables_number 11
_symmetry_space_group_name_Hall '-P 2yb'
loop_
_atom_site_label
_atom_site_fract_x
_atom_site_fract_y
_atom_site_fract_z
Pa1 0.0661 0.2500 0.1308
Ni1 0.3432 0.0520 0.6870
B1 0.2217 0.7500 0.4431
```

## Properties
- Magnetic moment: 0.000 μB per formula unit

Most stable: B (next structure +348 meV per atom)

--- A ---
Below is a relaxed structure of NiB3Pd, with properties calculated at the PBE level.

```
data_NiB3Pd
_chemical_formula_sum 'Ni1 B3 Pd1'
_cell_length_a 3.7701
_cell_length_b 3.7701
_cell_length_c 3.7701
_cell_angle_alpha 90.00
_cell_angle_beta 90.00
_cell_angle_gamma 90.00
_symmetry_space_group_name_H-M 'P m -3 m'
_symmetry_Int_Tables_number 221
_symmetry_space_group_name_Hall '-P 4 2 3'
loop_
_atom_site_label
_atom_site_fract_x
_atom_site_fract_y
_atom_site_fract_z
Ni1 0.0000 0.0000 0.0000
B1 0.0000 0.0000 0.5000
Pd1 0.5000 0.5000 0.5000
```

## Properties
- Magnetic moment: 0.000 μB per formula unit

--- B ---
Below is a relaxed structure of NiB3Pd, with properties calculated at the PBE level.

```
data_NiB3Pd
_chemical_formula_sum 'Ni1 B3 Pd1'
_cell_length_a 4.0175
_cell_length_b 4.0175
_cell_length_c 4.0175
_cell_angle_alpha 90.00
_cell_angle_beta 90.00
_cell_angle_gamma 90.00
_symmetry_space_group_name_H-M 'P m -3 m'
_symmetry_Int_Tables_number 221
_symmetry_space_group_name_Hall '-P 4 2 3'
loop_
_atom_site_label
_atom_site_fract_x
_atom_site_fract_y
_atom_site_fract_z
Ni1 0.0000 0.0000 0.0000
B1 0.0000 0.5000 0.5000
Pd1 0.5000 0.5000 0.5000
```

## Properties
- Magnetic moment: 0.000 μB per formula unit

Most stable: A (next structure +652 meV per atom)

--- A ---
Below is a relaxed structure of PmNi3B, with properties calculated at the PBE level.

```
data_PmNi3B
_chemical_formula_sum 'Pm1 Ni3 B1'
_cell_length_a 4.0733
_cell_length_b 4.0733
_cell_length_c 4.0733
_cell_angle_alpha 90.00
_cell_angle_beta 90.00
_cell_angle_gamma 90.00
_symmetry_space_group_name_H-M 'P m -3 m'
_symmetry_Int_Tables_number 221
_symmetry_space_group_name_Hall '-P 4 2 3'
loop_
_atom_site_label
_atom_site_fract_x
_atom_site_fract_y
_atom_site_fract_z
Pm1 0.0000 0.0000 0.0000
Ni1 0.0000 0.5000 0.5000
B1 0.5000 0.5000 0.5000
```

## Properties
- Magnetic moment: 0.005 μB per formula unit

--- B ---
Below is a relaxed structure of PmNi3B, with properties calculated at the PBE level.

```
data_PmNi3B
_chemical_formula_sum 'Pm4 Ni12 B4'
_cell_length_a 5.6643
_cell_length_b 5.6643
_cell_length_c 9.6127
_cell_angle_alpha 90.00
_cell_angle_beta 90.00
_cell_angle_gamma 120.00
_symmetry_space_group_name_H-M 'P 63/m m c'
_symmetry_Int_Tables_number 194
_symmetry_space_group_name_Hall '-P 6c 2c'
loop_
_atom_site_label
_atom_site_fract_x
_atom_site_fract_y
_atom_site_fract_z
Pm1 0.0000 0.0000 0.0000
Pm2 0.3333 0.6667 0.2500
Ni1 0.0000 0.5000 0.0000
Ni2 0.1584 0.3167 0.7500
B1 0.3333 0.6667 0.6370
```

## Properties
- Magnetic moment: 0.000 μB per formula unit

Most stable: A (next structure +21 meV per atom)

--- A ---
Below is a relaxed structure of Pm2Ni4B, with properties calculated at the PBE level.

```
data_Pm2Ni4B
_chemical_formula_sum 'Pm4 Ni8 B2'
_cell_length_a 3.9376
_cell_length_b 3.9376
_cell_length_c 15.0448
_cell_angle_alpha 90.00
_cell_angle_beta 90.00
_cell_angle_gamma 90.00
_symmetry_space_group_name_H-M 'I 4/m m m'
_symmetry_Int_Tables_number 139
_symmetry_space_group_name_Hall '-I 4 2'
loop_
_atom_site_label
_atom_site_fract_x
_atom_site_fract_y
_atom_site_fract_z
Pm1 0.0000 0.0000 0.1592
Ni1 0.0000 0.0000 0.3717
Ni2 0.0000 0.5000 0.0000
B1 0.0000 0.0000 0.5000
```

## Properties
- Magnetic moment: 0.000 μB per formula unit

--- B ---
Below is a relaxed structure of Pm2Ni4B, with properties calculated at the PBE level.

```
data_Pm2Ni4B
_chemical_formula_sum 'Pm4 Ni8 B2'
_cell_length_a 5.1908
_cell_length_b 5.1908
_cell_length_c 8.8272
_cell_angle_alpha 90.00
_cell_angle_beta 90.00
_cell_angle_gamma 90.00
_symmetry_space_group_name_H-M 'I 4/m m m'
_symmetry_Int_Tables_number 139
_symmetry_space_group_name_Hall '-I 4 2'
loop_
_atom_site_label
_atom_site_fract_x
_atom_site_fract_y
_atom_site_fract_z
Pm1 0.0000 0.5000 0.2500
Ni1 0.2349 0.2349 0.0000
B1 0.0000 0.0000 0.5000
```

## Properties
- Magnetic moment: 0.000 μB per formula unit

Most stable: A (next structure +83 meV per atom)